Material: TaFeHg2
Method: DFT, PBE-GGA
State: relaxed

```
4
Lattice="3.038 0.000 0.000 0.000 3.038 0.000 0.000 0.000 7.994" Properties=species:S:1:pos:R:3 pbc="T T T"
Ta 0.000 0.000 0.000
Fe 1.519 1.519 1.311
Hg 0.000 0.000 3.231
Hg 1.519 1.519 5.723
```

As for the volume: 18.4 Å³ per atom.


Material: Ta3FeHg
Method: DFT, PBE-GGA
State: relaxed

```
5
Lattice="4.602 0.000 0.000 0.000 4.602 0.000 0.000 0.000 4.602" Properties=species:S:1:pos:R:3 pbc="T T T"
Ta 0.000 0.000 2.301
Ta 0.000 2.301 0.000
Ta 2.301 0.000 0.000
Fe 0.000 0.000 0.000
Hg 2.301 2.301 2.301
```

As for the volume: 19.5 Å³ per atom.


Material: TaFeHg2
Method: DFT, PBE-GGA
State: relaxed

```
4
Lattice="-2.079 2.079 4.141 2.079 -2.079 4.141 2.079 2.079 -4.141" Properties=species:S:1:pos:R:3 pbc="T T T"
Ta 0.000 0.000 0.000
Fe 0.000 0.000 4.141
Hg 2.079 0.000 2.071
Hg 0.000 2.079 2.071
```

As for the volume: 17.9 Å³ per atom.


Material: TaFeHg2
Method: DFT, PBE-GGA
State: relaxed

```
4
Lattice="0.000 3.303 3.303 3.303 0.000 3.303 3.303 3.303 0.000" Properties=species:S:1:pos:R:3 pbc="T T T"
Ta 0.000 0.000 0.000
Fe 4.954 4.954 4.954
Hg 1.651 1.651 1.651
Hg 3.303 3.303 3.303
```

As for the volume: 18.0 Å³ per atom.


Material: TaFe3Hg
Method: DFT, PBE-GGA
State: relaxed

```
5
Lattice="4.563 0.000 0.000 0.000 4.563 0.000 0.000 0.000 4.563" Properties=species:S:1:pos:R:3 pbc="T T T"
Ta 0.000 0.000 0.000
Fe 0.000 0.000 2.281
Fe 0.000 2.281 0.000
Fe 2.281 0.000 0.000
Hg 2.281 2.281 2.281
```

As for the volume: 19.0 Å³ per atom.


Material: TaFeHg3
Method: DFT, PBE-GGA
State: relaxed

```
5
Lattice="4.869 0.000 0.000 0.000 4.869 0.000 0.000 0.000 4.869" Properties=species:S:1:pos:R:3 pbc="T T T"
Ta 0.000 0.000 0.000
Fe 2.435 2.435 2.435
Hg 0.000 2.435 2.435
Hg 2.435 0.000 2.435
Hg 2.435 2.435 0.000
```

As for the volume: 23.1 Å³ per atom.


Number 1: formation energy 264 meV per atom, E above lowest polymorph 0 kJ/mol of formula units. Number 2: formation energy 687 meV per atom, E above lowest polymorph 0 kJ/mol of formula units. Number 3: formation energy 549 meV per atom, E above lowest polymorph 110 kJ/mol of formula units. Number 4: formation energy 605 meV per atom, E above lowest polymorph 131 kJ/mol of formula units. Number 5: formation energy 1392 meV per atom, E above lowest polymorph 0 kJ/mol of formula units. Number 6: formation energy 1273 meV per atom, E above lowest polymorph 0 kJ/mol of formula units.